Material: Ti3VS
Method: DFT, GGA-PBE
State: optimized geometry

a b c (Å): 4.5577 4.5577 4.5577
angles (deg): 90.00 90.00 90.00
Last column: nearest neighbours and their distance in Å.
Space group Pm-3m (No. 221)
One atom of each set of equivalent atoms:
Ti 0.0000 0.0000 0.5000 [3 per cell]  2 V 2.28
V 0.0000 0.0000 0.0000 [1 per cell]  6 Ti 2.28
S 0.5000 0.5000 0.5000 [1 per cell]  12 Ti 3.22

## Properties
ΔE to the lowest computed polymorph ... 1261.1 meV/atom

***

Material: TiV3S
Method: DFT, GGA-PBE
State: optimized geometry

a b c (Å): 4.4287 4.4287 4.4287
angles (deg): 90.00 90.00 90.00
Last column: nearest neighbours and their distance in Å.
Space group Pm-3m (No. 221)
One atom of each set of equivalent atoms:
Ti 0.0000 0.0000 0.0000 [1 per cell]  6 V 2.21
V 0.0000 0.0000 0.5000 [3 per cell]  2 Ti 2.21
S 0.5000 0.5000 0.5000 [1 per cell]  12 V 3.13

## Properties
ΔE to the lowest computed polymorph ... 1864.2 meV/atom

***

Material: Ti3VS
Method: DFT, GGA-PBE
State: optimized geometry

a b c (Å): 6.5993 3.3348 6.8879
angles (deg): 90.00 97.69 90.00
Last column: nearest neighbours and their distance in Å.
Space group P2_1/m (No. 11)
One atom of each set of equivalent atoms:
Ti 0.1421 0.2500 0.0860 [2 per cell]  2 S 2.43, 2 Ti 2.67
Ti 0.3316 0.2500 0.4901 [2 per cell]  3 S 2.50, 3 V 2.61-2.76, 2 Ti 2.77
Ti 0.3339 0.7500 0.8310 [2 per cell]  3 S 2.58-2.73, 4 Ti 2.84-2.88
V 0.0099 0.7500 0.3563 [2 per cell]  2 V 2.60, 5 Ti 2.61-2.76, 1 S 2.72
S 0.3832 0.7500 0.2310 [2 per cell]  7 Ti 2.43-2.58

## Properties
ΔE to the lowest computed polymorph ... 0.0 meV/atom

***

Among the records above, which one has the highest ΔE to the lowest computed polymorph?
TiV3S

***

Copy entry 3 word for word.
Material: Ti3VS
Method: DFT, GGA-PBE
State: optimized geometry

a b c (Å): 6.5993 3.3348 6.8879
angles (deg): 90.00 97.69 90.00
Last column: nearest neighbours and their distance in Å.
Space group P2_1/m (No. 11)
One atom of each set of equivalent atoms:
Ti 0.1421 0.2500 0.0860 [2 per cell]  2 S 2.43, 2 Ti 2.67
Ti 0.3316 0.2500 0.4901 [2 per cell]  3 S 2.50, 3 V 2.61-2.76, 2 Ti 2.77
Ti 0.3339 0.7500 0.8310 [2 per cell]  3 S 2.58-2.73, 4 Ti 2.84-2.88
V 0.0099 0.7500 0.3563 [2 per cell]  2 V 2.60, 5 Ti 2.61-2.76, 1 S 2.72
S 0.3832 0.7500 0.2310 [2 per cell]  7 Ti 2.43-2.58

## Properties
ΔE to the lowest computed polymorph ... 0.0 meV/atom

***

Look up the ΔE to the lowest computed polymorph of the third one.
0.0 meV/atom

***

Which value of ΔE to the lowest computed polymorph does entry 1 give?
1261.1 meV/atom